1.
Below is a relaxed structure of LiCuAgGe, with properties calculated at the GGA-PBE level.

a b c (Å): 3.983 3.983 4.689
angles (deg): 115.12 115.13 90.00
Sites, in units of the cell vectors:
1 Li 0.500 0.500 0.000
2 Cu 0.000 0.000 0.000
3 Ag 0.250 0.750 0.500
4 Ge 0.750 0.250 0.500

Computed properties:
- Energy relative to the lowest polymorph listed for this composition: 0.041 eV per atom
- Calculated formation energy: -87.9 meV per atom
- Symmetry: I-4m2


2.
Below is a relaxed structure of LiCuAgGe, with properties calculated at the GGA-PBE level.

a b c (Å): 4.387 4.387 4.387
angles (deg): 60.00 60.00 60.00
Sites, in units of the cell vectors:
1 Ge 0.250 0.250 0.250
2 Cu 0.500 0.500 0.500
3 Ag 0.000 0.000 0.000
4 Li 0.750 0.750 0.750

Computed properties:
- Energy relative to the lowest polymorph listed for this composition: 0.000 eV per atom
- Calculated formation energy: -128.8 meV per atom
- Symmetry: F-43m


3.
Below is a relaxed structure of Mg2Cu5AgGe2, with properties calculated at the GGA-PBE level.

a b c (Å): 3.851 8.957 8.957
angles (deg): 90.00 90.00 90.00
Sites, in units of the cell vectors:
1 Mg 0.000 0.671 0.171
2 Mg 0.000 0.329 0.829
3 Mg 0.000 0.171 0.329
4 Mg 0.000 0.829 0.671
5 Cu 0.500 0.205 0.064
6 Cu 0.500 0.795 0.936
7 Cu 0.500 0.064 0.795
8 Cu 0.500 0.705 0.436
9 Cu 0.500 0.936 0.205
10 Cu 0.500 0.295 0.564
11 Cu 0.500 0.564 0.705
12 Cu 0.500 0.436 0.295
13 Cu 0.500 0.500 0.000
14 Cu 0.500 0.000 0.500
15 Ag 0.000 0.000 0.000
16 Ag 0.000 0.500 0.500
17 Ge 0.000 0.128 0.628
18 Ge 0.000 0.872 0.372
19 Ge 0.000 0.628 0.872
20 Ge 0.000 0.372 0.128

Computed properties:
- Calculated formation energy: 1.0 meV per atom
- Symmetry: P4/mbm


4.
Below is a relaxed structure of CuAgGe2Mo, with properties calculated at the GGA-PBE level.

a b c (Å): 4.816 5.322 4.816
angles (deg): 90.00 90.00 90.00
Sites, in units of the cell vectors:
1 Mo 0.000 0.500 0.000
2 Cu 0.500 0.500 0.500
3 Ge 0.000 0.000 0.500
4 Ge 0.500 0.000 0.000
5 Ag 0.000 0.000 0.000

Computed properties:
- Calculated formation energy: 1543.2 meV per atom
- Symmetry: P4/mmm


Question: What is the calculated formation energy in the fourth record?
Answer: 1543.2 meV per atom